# GGA-PBEsol CuSi2SnRu, optimized geometry
# * ΔE_f (raw): 0.528 eV/atom
# * ρ: 5.43 Mg/m³
# * calculated total energy: -5.524 eV per atom
data_CuSi2SnRu
_chemical_formula_sum 'Cu1 Si2 Sn1 Ru1'
_cell_length_a 4.471
_cell_length_b 4.471
_cell_length_c 5.193
_cell_angle_alpha 90.00
_cell_angle_beta 90.00
_cell_angle_gamma 90.00
_space_group_name_H-M_alt 'P 4/m m m'
_space_group_IT_number 123
_space_group_name_Hall '-P 4 2'
loop_
_atom_site_label
_atom_site_fract_x
_atom_site_fract_y
_atom_site_fract_z
Cu1 0.000 0.000 0.000
Si1 0.000 0.500 0.500
Sn1 0.500 0.500 0.000
Ru1 0.500 0.500 0.500